(1)
{
  "formula": "Ho2PtAu6",
  "functional": "GGA-PBE",
  "state": "optimized geometry",
  "rho_g_cm3": 16.09,
  "volume_a3_per_cell": 176,
  "final_energy_ev_per_atom": -4.50,
  "delta_e_f_ev_per_atom": -0.6284,
  "lattice_angstrom": [[6.751, -1.995, 0.000], [6.751, 1.995, 0.000], [-2.795, 0.000, 6.541]],
  "species": ["Ho", "Ho", "Pt", "Au", "Au", "Au", "Au", "Au", "Au"],
  "fractional_positions": [[0.060, 0.060, 0.313], [0.940, 0.940, 0.687], [0.500, 0.500, 0.000], [0.166, 0.166, 0.003], [0.272, 0.272, 0.672], [0.395, 0.395, 0.332], [0.605, 0.605, 0.668], [0.728, 0.728, 0.328], [0.834, 0.834, 0.997]]
}

---

(2)
{
  "formula": "PaTaVW",
  "functional": "GGA-PBE",
  "state": "optimized geometry",
  "rho_g_cm3": 14.82,
  "volume_a3_per_cell": 290,
  "final_energy_ev_per_atom": -10.73,
  "delta_e_f_ev_per_atom": 0.1225,
  "lattice_angstrom": [[6.618, 0.000, 0.000], [0.000, 6.618, 0.000], [0.000, 0.000, 6.618]],
  "species": ["Pa", "Pa", "Pa", "Pa", "Ta", "Ta", "Ta", "Ta", "V", "V", "V", "V", "W", "W", "W", "W"],
  "fractional_positions": [[0.000, 0.000, 0.000], [0.000, 0.500, 0.500], [0.500, 0.000, 0.500], [0.500, 0.500, 0.000], [0.000, 0.000, 0.500], [0.000, 0.500, 0.000], [0.500, 0.000, 0.000], [0.500, 0.500, 0.500], [0.250, 0.250, 0.250], [0.250, 0.750, 0.750], [0.750, 0.250, 0.750], [0.750, 0.750, 0.250], [0.250, 0.250, 0.750], [0.250, 0.750, 0.250], [0.750, 0.250, 0.250], [0.750, 0.750, 0.750]]
}

---

(3)
{
  "formula": "ZrMnSb2I",
  "functional": "GGA-PBE",
  "state": "optimized geometry",
  "rho_g_cm3": 4.80,
  "volume_a3_per_cell": 179,
  "final_energy_ev_per_atom": -5.00,
  "raw_formation_energy_mev_per_atom": 498,
  "lattice_angstrom": [[5.586, 0.000, 0.000], [0.000, 5.586, 0.000], [0.000, 0.000, 5.724]],
  "species": ["Zr", "Mn", "Sb", "Sb", "I"],
  "fractional_positions": [[0.000, 0.000, 0.000], [0.500, 0.500, 0.500], [0.000, 0.500, 0.000], [0.500, 0.000, 0.000], [0.000, 0.000, 0.500]]
}

---

(4)
{
  "formula": "Cu6SbO8",
  "functional": "GGA-PBE",
  "state": "optimized geometry",
  "rho_g_cm3": 5.27,
  "volume_a3_per_cell": 199,
  "final_energy_ev_per_atom": -5.29,
  "raw_formation_energy_mev_per_atom": -735,
  "lattice_angstrom": [[0.000, 4.632, 4.632], [4.632, 0.000, 4.632], [4.632, 4.632, 0.000]],
  "species": ["Cu", "Cu", "Cu", "Cu", "Cu", "Cu", "Sb", "O", "O", "O", "O", "O", "O", "O", "O"],
  "fractional_positions": [[0.000, 0.000, 0.500], [0.000, 0.500, 0.000], [0.000, 0.500, 0.500], [0.500, 0.000, 0.000], [0.500, 0.000, 0.500], [0.500, 0.500, 0.000], [0.000, 0.000, 0.000], [0.138, 0.138, 0.138], [0.138, 0.138, 0.585], [0.138, 0.585, 0.138], [0.415, 0.862, 0.862], [0.585, 0.138, 0.138], [0.862, 0.415, 0.862], [0.862, 0.862, 0.415], [0.862, 0.862, 0.862]]
}

---

(5)
{
  "formula": "ZnSeS6",
  "functional": "GGA-PBE",
  "state": "optimized geometry",
  "rho_g_cm3": 2.74,
  "volume_a3_per_cell": 204,
  "final_energy_ev_per_atom": -3.66,
  "raw_formation_energy_mev_per_atom": 35,
  "lattice_angstrom": [[5.951, 0.000, 0.000], [0.334, 5.946, 0.000], [2.943, 2.223, 5.763]],
  "species": ["Zn", "Se", "S", "S", "S", "S", "S", "S"],
  "fractional_positions": [[0.000, 0.000, 0.000], [0.500, 0.500, 0.000], [0.053, 0.551, 0.107], [0.343, 0.081, 0.331], [0.411, 0.153, 0.685], [0.589, 0.847, 0.315], [0.657, 0.919, 0.669], [0.947, 0.449, 0.893]]
}

---

(6)
{
  "formula": "SrCrSe2",
  "functional": "GGA-PBE",
  "state": "optimized geometry",
  "rho_g_cm3": 3.28,
  "volume_a3_per_cell": 453,
  "final_energy_ev_per_atom": -5.26,
  "raw_formation_energy_mev_per_atom": -689,
  "lattice_angstrom": [[4.716, 0.000, 0.000], [-2.358, 4.084, 0.000], [0.000, 0.000, 23.500]],
  "species": ["Sr", "Sr", "Sr", "Cr", "Cr", "Cr", "Se", "Se", "Se", "Se", "Se", "Se"],
  "fractional_positions": [[0.000, 0.000, 0.000], [0.333, 0.667, 0.667], [0.667, 0.333, 0.333], [0.000, 0.000, 0.500], [0.333, 0.667, 0.167], [0.667, 0.333, 0.833], [0.000, 0.000, 0.400], [0.000, 0.000, 0.600], [0.333, 0.667, 0.066], [0.333, 0.667, 0.267], [0.667, 0.333, 0.733], [0.667, 0.333, 0.934]]
}